one:
NaCdI2 after structural relaxation, computed with PBE-GGA.

Theoretical density: 4.90 Mg/m³
Total moment: 0.00 μB/atom
D(E_F): 13.45 states/eV per cell

Cell lengths 8.081, 8.081, 8.081 Å; angles 90.00, 90.00, 90.00 degrees
Space group Fm-3m (No. 225)
Asymmetric unit:
Na1 0.000 0.000 0.000 x4
Cd1 0.000 0.000 0.500 x4
I1 0.250 0.250 0.250 x8


two:
NaCdI2 after structural relaxation, computed with PBE-GGA.

Theoretical density: 3.21 Mg/m³
Total moment: 0.00 μB/atom
D(E_F): 12.74 states/eV per cell

Cell lengths 5.0813, 5.0813, 27.0249 Å; angles 90.00, 90.00, 120.00 degrees
Space group R-3m (No. 166, hexagonal axes)
Asymmetric unit:
Na1 0.0000 0.0000 0.0000 x3
Cd1 0.0000 0.0000 0.5000 x3
I1 0.0000 0.0000 0.1068 x6


The structure with the greatest stability is one.


one:
Na2CdI2 after structural relaxation, computed with PBE-GGA.

Theoretical density: 4.00 Mg/m³
Total moment: 0.00 μB/atom
D(E_F): 0.00 states/eV per cell

Cell lengths 9.066, 9.066, 4.168 Å; angles 90.00, 90.00, 90.00 degrees
Space group P4/mbm (No. 127)
Asymmetric unit:
Na1 0.145 0.355 0.000 x4
Cd1 0.000 0.000 0.000 x2
I1 0.157 0.657 0.500 x4


two:
Na2CdI2 after structural relaxation, computed with PBE-GGA.

Theoretical density: 2.62 Mg/m³
Total moment: 0.00 μB/atom
D(E_F): 0.00 states/eV per cell

Cell lengths 6.250, 6.250, 13.400 Å; angles 90.00, 90.00, 90.00 degrees
Space group I4/mmm (No. 139)
Asymmetric unit:
Na1 0.000 0.000 0.239 x4
Cd1 0.000 0.000 0.500 x2
I1 0.000 0.500 0.250 x4


The structure with the greatest stability is one.


one:
NaCdIO2 after structural relaxation, computed with PBE-GGA.

Theoretical density: 4.19 Mg/m³
Total moment: 0.50 μB/atom
D(E_F): 7.22 states/eV per cell

Cell lengths 4.390, 4.390, 6.058 Å; angles 90.00, 90.00, 90.00 degrees
Space group P4/mmm (No. 123)
Asymmetric unit:
Na1 0.000 0.000 0.000 x1
Cd1 0.500 0.500 0.500 x1
I1 0.000 0.000 0.500 x1
O1 0.000 0.500 0.000 x2


two:
NaCdIO2 after structural relaxation, computed with PBE-GGA.

Theoretical density: 4.06 Mg/m³
Total moment: 0.37 μB/atom
D(E_F): 6.34 states/eV per cell

Cell lengths 4.363, 4.363, 6.326 Å; angles 90.00, 90.00, 90.00 degrees
Space group P4/mmm (No. 123)
Asymmetric unit:
Na1 0.000 0.000 0.000 x1
Cd1 0.500 0.500 0.500 x1
I1 0.500 0.500 0.000 x1
O1 0.000 0.500 0.500 x2


The structure with the greatest stability is two.


one:
NaCdI2O after structural relaxation, computed with PBE-GGA.

Theoretical density: 4.30 Mg/m³
Total moment: 0.20 μB/atom
D(E_F): 6.52 states/eV per cell

Cell lengths 6.074, 6.074, 4.238 Å; angles 90.00, 90.00, 90.00 degrees
Space group P4/mmm (No. 123)
Asymmetric unit:
Na1 0.000 0.000 0.000 x1
Cd1 0.500 0.500 0.500 x1
I1 0.000 0.500 0.500 x2
O1 0.500 0.500 0.000 x1


two:
NaCdI2O after structural relaxation, computed with PBE-GGA.

Theoretical density: 4.46 Mg/m³
Total moment: 0.31 μB/atom
D(E_F): 3.66 states/eV per cell

Cell lengths 5.909, 5.909, 4.325 Å; angles 90.00, 90.00, 90.00 degrees
Space group P4/mmm (No. 123)
Asymmetric unit:
Na1 0.000 0.000 0.000 x1
Cd1 0.500 0.500 0.500 x1
I1 0.000 0.500 0.000 x2
O1 0.000 0.000 0.500 x1


The structure with the greatest stability is one.